First-principles (GGA-PBE) data for Sr2LiRu after structural relaxation, as listed in Alexandria.

Cell: 5.395 5.395 3.754 Å, 90.00 90.00 90.00°
Space group P4/mmm (No. 123)
Symmetry-distinct sites (fractional):
1 Sr 0.000 0.500 0.000 x2
2 Li 0.000 0.000 0.500 x1
3 Ru 0.500 0.500 0.500 x1

## Properties
- DOS at the Fermi energy: 5.994 states/eV/cell
- Calculated total energy: -12.9 eV for the cell shown
- ΔH_f (0 K): 0.42 eV/atom